# 1
SiIrRu2 | PBE | optimized geometry

Cell and atoms, written as POSCAR:
```
SiIrRu2
1.0
9.847 0.000 0.000
0.000 2.850 0.000
-1.916 0.000 3.903
Si Ir Ru
2 2 4
Direct
0.000 0.000 0.000
0.500 0.500 0.000
0.219 0.500 0.218
0.719 0.000 0.218
0.003 0.500 0.502
0.282 0.000 0.781
0.503 0.000 0.502
0.782 0.500 0.781
```

Results
Formation energy from raw total energies ... -245 meV/atom
Space-group type ... No. 8

=====

# 2
SiIr2Ru | PBE | optimized geometry

Cell and atoms, written as POSCAR:
```
SiIr2Ru
1.0
2.822 0.000 0.000
0.000 2.822 0.000
0.000 0.000 6.936
Si Ir Ru
1 2 1
Direct
0.000 0.000 0.000
0.500 0.500 0.217
0.500 0.500 0.783
0.000 0.000 0.500
```

Results
Formation energy from raw total energies ... -189 meV/atom
Space-group type ... No. 123

=====

# 3
SiIr2Ru | PBE | optimized geometry

Cell and atoms, written as POSCAR:
```
SiIr2Ru
1.0
6.107 0.000 0.000
0.000 6.107 0.000
0.000 0.000 6.107
Si Ir Ru
4 8 4
Direct
0.000 0.000 0.000
0.000 0.500 0.500
0.500 0.000 0.500
0.500 0.500 0.000
0.000 0.000 0.500
0.000 0.500 0.000
0.250 0.250 0.250
0.250 0.750 0.750
0.500 0.000 0.000
0.500 0.500 0.500
0.750 0.250 0.750
0.750 0.750 0.250
0.250 0.250 0.750
0.250 0.750 0.250
0.750 0.250 0.250
0.750 0.750 0.750
```

Results
Formation energy from raw total energies ... 132 meV/atom
Space-group type ... No. 216

=====

# 4
SiIr2Ru | PBE | optimized geometry

Cell and atoms, written as POSCAR:
```
SiIr2Ru
1.0
5.391 0.000 0.000
0.000 5.391 0.000
0.000 0.000 11.144
Si Ir Ru
4 8 4
Direct
0.000 0.000 0.000
0.000 0.500 0.250
0.500 0.000 0.750
0.500 0.500 0.500
0.239 0.250 0.125
0.250 0.739 0.375
0.250 0.761 0.875
0.261 0.250 0.625
0.739 0.750 0.625
0.750 0.239 0.875
0.750 0.261 0.375
0.761 0.750 0.125
0.000 0.000 0.500
0.000 0.500 0.750
0.500 0.000 0.250
0.500 0.500 0.000
```

Results
Formation energy from raw total energies ... 532 meV/atom
Space-group type ... No. 122

=====

# 5
SiIr2Ru | PBE | optimized geometry

Cell and atoms, written as POSCAR:
```
SiIr2Ru
1.0
2.767 0.000 0.000
0.000 3.732 0.000
0.000 0.000 5.383
Si Ir Ru
1 2 1
Direct
0.000 0.000 0.000
0.500 0.500 0.247
0.500 0.500 0.753
0.000 0.000 0.500
```

Results
Formation energy from raw total energies ... -99 meV/atom
Space-group type ... No. 47

=====

# 6
SiIrRu2 | PBE | optimized geometry

Cell and atoms, written as POSCAR:
```
SiIrRu2
1.0
2.858 0.000 0.000
0.000 4.311 0.000
0.000 0.000 8.876
Si Ir Ru
2 2 4
Direct
0.000 0.000 0.000
0.500 0.500 0.500
0.000 0.000 0.500
0.500 0.500 0.000
0.000 0.500 0.283
0.000 0.500 0.717
0.500 0.000 0.217
0.500 0.000 0.783
```

Results
Formation energy from raw total energies ... -229 meV/atom
Space-group type ... No. 71

=====

# 7
SiIr2Ru | PBE | optimized geometry

Cell and atoms, written as POSCAR:
```
SiIr2Ru
1.0
2.841 0.000 0.000
0.000 2.841 0.000
0.000 0.000 6.806
Si Ir Ru
1 2 1
Direct
0.000 0.000 0.000
0.000 0.000 0.511
0.500 0.500 0.213
0.500 0.500 0.784
```

Results
Formation energy from raw total energies ... -232 meV/atom
Space-group type ... No. 99

=====

# 8
SiIr2Ru | PBE | optimized geometry

Cell and atoms, written as POSCAR:
```
SiIr2Ru
1.0
2.799 0.000 0.000
0.000 3.894 0.000
-1.394 0.000 5.129
Si Ir Ru
1 2 1
Direct
0.000 0.000 0.000
0.145 0.500 0.286
0.768 0.000 0.532
0.409 0.500 0.814
```

Results
Formation energy from raw total energies ... -261 meV/atom
Space-group type ... No. 6